1.
VASP calculation (PBE) on a relaxed AcHo2Tm crystal.

Cell lengths 4.063, 4.063, 8.383 Å; angles 90.00, 90.00, 90.00 degrees
Fractional positions:
Tm (0.500, 0.500, 0.000)
Ho (0.000, 0.000, 0.218)
Ho (0.000, 0.000, 0.782)
Ac (0.500, 0.500, 0.500)

Output
Energy of formation from the pure elements: 0.11 eV per atom
Calculated total energy: -4.326 eV/atom
Polymorph energy (0 for the lowest one): 59 meV per atom


2.
VASP calculation (PBE) on a relaxed CdOs3 crystal.

Cell lengths 2.774, 2.774, 9.453 Å; angles 81.56, 81.56, 60.00 degrees
Fractional positions:
Os (0.244, 0.244, 0.269)
Os (0.756, 0.756, 0.731)
Cd (0.000, 0.000, 0.000)
Os (0.500, 0.500, 0.500)

Output
Energy of formation from the pure elements: 0.36 eV per atom
Calculated total energy: -8.296 eV/atom
Polymorph energy (0 for the lowest one): 118 meV per atom


3.
VASP calculation (PBE) on a relaxed Na2PmZnF8 crystal.

Cell lengths 4.025, 5.526, 7.314 Å; angles 89.96, 90.01, 94.77 degrees
Site moments in Bohr magnetons follow the coordinates.
Fractional positions:
F (0.063, 0.774, 0.230)  0.10
Na (0.500, 0.500, 0.765)  0.00
F (0.598, 0.783, 0.000)  0.21
F (0.937, 0.226, 0.770)  0.10
Zn (0.000, 0.000, 0.000)  0.14
Pm (0.000, 0.000, 0.500)  0.00
F (0.937, 0.227, 0.231)  0.10
F (0.402, 0.217, 0.000)  0.21
F (0.502, 0.760, 0.500)  0.03
Na (0.500, 0.500, 0.235)  0.00
F (0.063, 0.773, 0.769)  0.10
F (0.498, 0.240, 0.500)  0.03

Output
E_form (uncorrected): -2.82 eV/atom
Calculated total energy: -4.788 eV/atom